1.
Below is crystalline MnRe2CS at its relaxed geometry, with properties calculated at the GGA-PBE level.

abc: 4.017 4.017 4.470
angles: 90.00 90.00 90.00
Fractional coordinates of all 5 atoms:
S: 0.000 0.000 0.500
Mn: 0.500 0.500 0.500
Re: 0.500 0.000 0.000
Re: 0.000 0.500 0.000
C: 0.000 0.000 0.000

Output
* calculated volume: 14.425 A^3/atom
* N(E_F): 4.09 states/eV per cell

***

2.
Below is crystalline KRb2ZnCl5 at its relaxed geometry, with properties calculated at the GGA-PBE level.

abc: 8.946 8.946 9.544
angles: 117.95 117.95 90.00
Fractional coordinates of all 18 atoms:
Cl: 0.798 0.010 0.308
Cl: 0.202 0.990 0.692
Cl: 0.990 0.490 0.692
Cl: 0.298 0.798 0.308
Cl: 0.490 0.702 0.692
Cl: 0.500 0.500 0.000
Cl: 0.010 0.510 0.308
Cl: 0.510 0.298 0.308
Cl: 0.702 0.202 0.692
Cl: 0.000 0.000 0.000
K: 0.250 0.250 0.500
K: 0.750 0.750 0.500
Rb: 0.665 0.165 0.000
Rb: 0.335 0.835 0.000
Rb: 0.835 0.665 0.000
Rb: 0.165 0.335 0.000
Zn: 0.250 0.750 0.500
Zn: 0.750 0.250 0.500

Output
* calculated volume: 31.776 A^3/atom
* N(E_F): 0.00 states/eV per cell

***

3.
Below is crystalline MgRu3S at its relaxed geometry, with properties calculated at the GGA-PBE level.

abc: 4.499 4.499 4.499
angles: 90.00 90.00 90.00
Fractional coordinates of all 5 atoms:
Mg: 0.000 0.000 0.000
Ru: 0.000 0.500 0.000
Ru: 0.000 0.000 0.500
Ru: 0.500 0.000 0.000
S: 0.500 0.500 0.500

Output
* energy above the lowest structure with this stoichiometry: 43.04 kcal/mol of atoms
* calculated volume: 18.217 A^3/atom
* N(E_F): 5.99 states/eV per cell

***

Number 1: calculated density 10.854 Mg/m³, E -8.4168 eV/atom. Number 2: calculated density 2.629 Mg/m³, E -3.2088 eV/atom. Number 3: calculated density 6.555 Mg/m³, E -4.6710 eV/atom.